Entry from the Alexandria database: an optimized crystal structure of Ti3HgMo (GGA-PBE).

Summary:
E_tot ... -6.250 eV per atom

The structure in CIF format:
```
data_Ti3HgMo
_chemical_formula_sum 'Ti3 Hg1 Mo1'
_cell_length_a 4.754
_cell_length_b 4.754
_cell_length_c 4.754
_cell_angle_alpha 90.00
_cell_angle_beta 90.00
_cell_angle_gamma 90.00
_symmetry_space_group_name_H-M 'P m -3 m'
_symmetry_Int_Tables_number 221
_symmetry_space_group_name_Hall '-P 4 2 3'
loop_
_atom_site_label
_atom_site_type_symbol
_atom_site_fract_x
_atom_site_fract_y
_atom_site_fract_z
Ti1 Ti 0.000 0.000 0.500
Hg1 Hg 0.500 0.500 0.500
Mo1 Mo 0.000 0.000 0.000
```